The following is a DFT calculation (PBE) of a relaxed Ti4Be2Sb crystal.

a = 4.9140 Å, b = 4.9140 Å, c = 6.9318 Å
α = 69.24°, β = 69.24°, γ = 90.00°
Last column: magnetic moment on the atom in μB.
Positions (direct):
1 Sb 0.0000 0.0000 0.0000  -0.01
2 Ti 0.0000 0.5000 0.0000  0.10
3 Be 0.4179 0.4179 0.1642  0.02
4 Be 0.5821 0.5821 0.8358  0.02
5 Ti 0.5000 0.0000 0.0000  0.10
6 Ti 0.2240 0.2240 0.5520  0.94
7 Ti 0.7760 0.7760 0.4480  0.94

Total magnetic moment ... 2.61 μB/cell
E_form (uncorrected) ... 5.7 eV per formula unit

=====

The following is a DFT calculation (PBE) of a relaxed TiBeSb3 crystal.

a = 4.8857 Å, b = 4.8857 Å, c = 4.8857 Å
α = 90.00°, β = 90.00°, γ = 90.00°
Positions (direct):
1 Sb 0.5000 0.0000 0.0000
2 Sb 0.0000 0.0000 0.5000
3 Ti 0.5000 0.5000 0.5000
4 Be 0.0000 0.0000 0.0000
5 Sb 0.0000 0.5000 0.0000

Total magnetic moment ... 0.00 μB/cell
E_form (uncorrected) ... 3.2 eV per formula unit
Energy above the most stable polymorph in this dataset ... 0.0000 eV/atom

=====

The following is a DFT calculation (PBE) of a relaxed Ti3BeSb crystal.

a = 4.9725 Å, b = 4.9725 Å, c = 4.9725 Å
α = 90.00°, β = 90.00°, γ = 90.00°
Last column: magnetic moment on the atom in μB.
Positions (direct):
1 Be 0.5000 0.5000 0.5000  -0.03
2 Ti 0.0000 0.0000 0.5000  0.24
3 Ti 0.5000 0.0000 0.0000  0.40
4 Ti 0.0000 0.5000 0.0000  0.22
5 Sb 0.0000 0.0000 0.0000  -0.01

Total magnetic moment ... 1.00 μB/cell
E_form (uncorrected) ... 5.9 eV per formula unit
Energy above the most stable polymorph in this dataset ... 1.3293 eV/atom

=====

The following is a DFT calculation (PBE) of a relaxed Ti3BeSb crystal.

a = 4.3996 Å, b = 4.3996 Å, c = 4.3996 Å
α = 90.00°, β = 90.00°, γ = 90.00°
Positions (direct):
1 Ti 0.5000 0.0000 0.0000
2 Be 0.0000 0.0000 0.0000
3 Sb 0.5000 0.5000 0.5000
4 Ti 0.0000 0.0000 0.5000
5 Ti 0.0000 0.5000 0.0000

Total magnetic moment ... 0.00 μB/cell
E_form (uncorrected) ... -0.3 eV per formula unit
Energy above the most stable polymorph in this dataset ... 0.1022 eV/atom